# 1
Here is a geometry-optimized NaPt3S5 structure from OQMD. Energies are from PBE.

Summary:
Crystal system ... hexagonal
Total magnetic moment ... 0.00 μB per formula unit
Energy ... -4.66 eV per atom

```
data_NaPt3S5
_chemical_formula_sum 'Na1 Pt3 S5'
_space_group_name_H-M_alt 'P 6/m m m'
_space_group_IT_number 191
_space_group_name_Hall '-P 6 2'
_cell_length_a 6.1438
_cell_length_b 6.1438
_cell_length_c 6.4240
_cell_angle_alpha 90.00
_cell_angle_beta 90.00
_cell_angle_gamma 120.00
loop_
_atom_site_label
_atom_site_type_symbol
_atom_site_fract_x
_atom_site_fract_y
_atom_site_fract_z
Na1 Na 0.0000 0.0000 0.0000
Pt1 Pt 0.0000 0.5000 0.5000
S1 S 0.0000 0.0000 0.5000
S2 S 0.3333 0.6667 0.2580
```

=====

# 2
Here is a geometry-optimized Na4PtS4 structure from OQMD. Energies are from PBE.

Summary:
Crystal system ... tetragonal
Total magnetic moment ... 1.98 μB per formula unit
Energy ... -3.74 eV per atom

```
data_Na4PtS4
_chemical_formula_sum 'Na8 Pt2 S8'
_space_group_name_H-M_alt 'P -4 21 c'
_space_group_IT_number 114
_cell_length_a 7.9952
_cell_length_b 7.9952
_cell_length_c 6.4218
_cell_angle_alpha 90.00
_cell_angle_beta 90.00
_cell_angle_gamma 90.00
loop_
_space_group_symop_operation_xyz
'x,y,z'
'y,-x,-z'
'-x,-y,z'
'-y,x,-z'
'x+1/2,-y+1/2,-z+1/2'
'y+1/2,x+1/2,z+1/2'
'-x+1/2,y+1/2,-z+1/2'
'-y+1/2,-x+1/2,z+1/2'
loop_
_atom_site_label
_atom_site_type_symbol
_atom_site_fract_x
_atom_site_fract_y
_atom_site_fract_z
Na1 Na 0.0888 0.2962 0.4625
Pt1 Pt 0.0000 0.0000 0.0000
S1 S 0.0904 0.7548 0.8442
```

=====

# 3
Here is a geometry-optimized Na6PtS structure from OQMD. Energies are from PBE.

Summary:
Crystal system ... trigonal
Total magnetic moment ... 0.00 μB per formula unit
Energy ... -2.56 eV per atom

```
data_Na6PtS
_chemical_formula_sum 'Na18 Pt3 S3'
_space_group_name_H-M_alt 'R -3'
_space_group_IT_number 148
_space_group_name_Hall '-R 3'
_cell_length_a 6.5798
_cell_length_b 6.5798
_cell_length_c 19.4900
_cell_angle_alpha 90.00
_cell_angle_beta 90.00
_cell_angle_gamma 120.00
loop_
_atom_site_label
_atom_site_type_symbol
_atom_site_fract_x
_atom_site_fract_y
_atom_site_fract_z
Na1 Na 0.0069 0.3557 0.0814
Pt1 Pt 0.0000 0.0000 0.0000
S1 S 0.0000 0.0000 0.5000
```

=====

# 4
Here is a geometry-optimized Na2PtS3 structure from OQMD. Energies are from PBE.

Summary:
Crystal system ... monoclinic
Total magnetic moment ... 0.00 μB per formula unit
Energy ... -4.23 eV per atom

```
data_Na2PtS3
_chemical_formula_sum 'Na8 Pt4 S12'
_space_group_name_H-M_alt 'C 1 2/m 1'
_space_group_IT_number 12
_cell_length_a 6.4546
_cell_length_b 11.1902
_cell_length_c 6.8436
_cell_angle_alpha 90.00
_cell_angle_beta 108.79
_cell_angle_gamma 90.00
loop_
_space_group_symop_operation_xyz
'x,y,z'
'-x,-y,-z'
'-x,y,-z'
'x,-y,z'
'x+1/2,y+1/2,z'
'-x+1/2,-y+1/2,-z'
'-x+1/2,y+1/2,-z'
'x+1/2,-y+1/2,z'
loop_
_atom_site_label
_atom_site_type_symbol
_atom_site_fract_x
_atom_site_fract_y
_atom_site_fract_z
Na1 Na 0.0000 0.0000 0.0000
Na2 Na 0.0000 0.1553 0.5000
Na3 Na 0.0000 0.5000 0.5000
Pt1 Pt 0.0000 0.3327 0.0000
S1 S 0.1990 0.5000 0.2034
S2 S 0.2444 0.3134 0.7959
```

=====

What did the first record say?
Here is a geometry-optimized NaPt3S5 structure from OQMD. Energies are from PBE.

Summary:
Crystal system ... hexagonal
Total magnetic moment ... 0.00 μB per formula unit
Energy ... -4.66 eV per atom

```
data_NaPt3S5
_chemical_formula_sum 'Na1 Pt3 S5'
_space_group_name_H-M_alt 'P 6/m m m'
_space_group_IT_number 191
_space_group_name_Hall '-P 6 2'
_cell_length_a 6.1438
_cell_length_b 6.1438
_cell_length_c 6.4240
_cell_angle_alpha 90.00
_cell_angle_beta 90.00
_cell_angle_gamma 120.00
loop_
_atom_site_label
_atom_site_type_symbol
_atom_site_fract_x
_atom_site_fract_y
_atom_site_fract_z
Na1 Na 0.0000 0.0000 0.0000
Pt1 Pt 0.0000 0.5000 0.5000
S1 S 0.0000 0.0000 0.5000
S2 S 0.3333 0.6667 0.2580
```